No. 1
# Nd5Th3Se12

Crystalline Nd5Th3Se12 at its relaxed geometry (PBE, the Alexandria database).

Unit cell a=14.8762 b=14.8762 c=14.8762 alpha=109.47 beta=109.47 gamma=109.47
Last column: nearest neighbours and their distance in Å.
Element x y z (fractional)
Se (0.8267, 0.9046, 0.2715)  2 Nd 2.77-2.95, 1 Th 3.06
Se (0.5780, 0.9449, 0.6733)  2 Nd 2.77-2.95, 1 Th 3.06
Se (0.0551, 0.6331, 0.7285)  2 Nd 2.77-2.95, 1 Th 3.06
Se (0.2285, 0.5551, 0.6331)  2 Nd 2.77-2.95, 1 Th 3.06
Se (0.7285, 0.1331, 0.0551)  2 Nd 2.77-2.95, 1 Th 3.06
Se (0.1733, 0.0780, 0.9449)  2 Nd 2.77-2.95, 1 Th 3.06
Se (0.9220, 0.0954, 0.8669)  2 Nd 2.77-2.95, 1 Th 3.06
Se (0.9046, 0.0780, 0.6331)  2 Nd 2.77-2.95, 1 Th 3.06
Se (0.3267, 0.7715, 0.4046)  2 Nd 2.77-2.95, 1 Th 3.06
Se (0.3669, 0.4220, 0.0954)  2 Nd 2.77-2.95, 1 Th 3.06
Se (0.8267, 0.9220, 0.0551)  2 Nd 2.77-2.95, 1 Th 3.06
Se (0.3669, 0.9449, 0.7715)  2 Nd 2.77-2.95, 1 Th 3.06
Se (0.3267, 0.5551, 0.4220)  2 Nd 2.77-2.95, 1 Th 3.06
Se (0.8669, 0.2715, 0.4449)  2 Nd 2.77-2.95, 1 Th 3.06
Se (0.2715, 0.4046, 0.8267)  2 Nd 2.77-2.95, 1 Th 3.06
Se (0.4046, 0.1331, 0.5780)  2 Nd 2.77-2.95, 1 Th 3.06
Se (0.5954, 0.7285, 0.6733)  2 Nd 2.77-2.95, 1 Th 3.06
Se (0.6331, 0.5780, 0.9046)  2 Nd 2.77-2.95, 1 Th 3.06
Se (0.5551, 0.3267, 0.9220)  2 Nd 2.77-2.95, 1 Th 3.06
Se (0.0780, 0.9046, 0.1331)  2 Nd 2.77-2.95, 1 Th 3.06
Se (0.8669, 0.5954, 0.9220)  2 Nd 2.77-2.95, 1 Th 3.06
Se (0.9046, 0.8267, 0.7715)  2 Nd 2.77-2.95, 1 Th 3.06
Se (0.0551, 0.4220, 0.8267)  2 Nd 2.77-2.95, 1 Th 3.06
Se (0.4449, 0.6733, 0.0780)  2 Nd 2.77-2.95, 1 Th 3.06
Se (0.7285, 0.5954, 0.1733)  2 Nd 2.77-2.95, 1 Th 3.06
Se (0.1331, 0.4046, 0.0780)  2 Nd 2.77-2.95, 1 Th 3.06
Se (0.1331, 0.7285, 0.5551)  2 Nd 2.77-2.95, 1 Th 3.06
Se (0.6331, 0.0551, 0.2285)  2 Nd 2.77-2.95, 1 Th 3.06
Se (0.4449, 0.7715, 0.8669)  2 Nd 2.77-2.95, 1 Th 3.06
Se (0.4220, 0.0551, 0.3267)  2 Nd 2.77-2.95, 1 Th 3.06
Se (0.9220, 0.8267, 0.5551)  2 Nd 2.77-2.95, 1 Th 3.06
Se (0.7715, 0.4449, 0.3669)  2 Nd 2.77-2.95, 1 Th 3.06
Se (0.4046, 0.2715, 0.3267)  2 Nd 2.77-2.95, 1 Th 3.06
Se (0.7715, 0.3267, 0.9046)  2 Nd 2.77-2.95, 1 Th 3.06
Se (0.5954, 0.8669, 0.4220)  2 Nd 2.77-2.95, 1 Th 3.06
Se (0.4220, 0.3669, 0.5954)  2 Nd 2.77-2.95, 1 Th 3.06
Se (0.0954, 0.1733, 0.2285)  2 Nd 2.77-2.95, 1 Th 3.06
Se (0.9449, 0.3669, 0.2715)  2 Nd 2.77-2.95, 1 Th 3.06
Se (0.0954, 0.9220, 0.3669)  2 Nd 2.77-2.95, 1 Th 3.06
Se (0.2715, 0.8669, 0.9449)  2 Nd 2.77-2.95, 1 Th 3.06
Se (0.2285, 0.6733, 0.0954)  2 Nd 2.77-2.95, 1 Th 3.06
Se (0.5551, 0.2285, 0.1331)  2 Nd 2.77-2.95, 1 Th 3.06
Se (0.0780, 0.1733, 0.4449)  2 Nd 2.77-2.95, 1 Th 3.06
Se (0.6733, 0.2285, 0.5954)  2 Nd 2.77-2.95, 1 Th 3.06
Se (0.1733, 0.0954, 0.7285)  2 Nd 2.77-2.95, 1 Th 3.06
Se (0.9449, 0.5780, 0.1733)  2 Nd 2.77-2.95, 1 Th 3.06
Se (0.5780, 0.6331, 0.4046)  2 Nd 2.77-2.95, 1 Th 3.06
Se (0.6733, 0.4449, 0.5780)  2 Nd 2.77-2.95, 1 Th 3.06
Th (0.2500, 0.6250, 0.8750)  8 Se 3.06-3.26
Th (0.8750, 0.7500, 0.1250)  8 Se 3.06-3.26
Th (0.3750, 0.7500, 0.6250)  8 Se 3.06-3.26
Th (0.1250, 0.8750, 0.7500)  8 Se 3.06-3.26
Th (0.7500, 0.3750, 0.1250)  8 Se 3.06-3.26
Th (0.3750, 0.6250, 0.2500)  8 Se 3.06-3.26
Th (0.6250, 0.3750, 0.7500)  8 Se 3.06-3.26
Th (0.7500, 0.8750, 0.6250)  8 Se 3.06-3.26
Th (0.8750, 0.1250, 0.2500)  8 Se 3.06-3.26
Th (0.1250, 0.2500, 0.8750)  8 Se 3.06-3.26
Th (0.2500, 0.1250, 0.3750)  8 Se 3.06-3.26
Th (0.6250, 0.2500, 0.3750)  8 Se 3.06-3.26
Nd (0.1250, 0.3750, 0.2500)  4 Se 2.77
Nd (0.2500, 0.3750, 0.6250)  4 Se 2.77
Nd (0.6250, 0.7500, 0.8750)  4 Se 2.77
Nd (0.5000, 0.5000, 0.5000)  6 Se 2.95
Nd (0.1250, 0.7500, 0.3750)  4 Se 2.77
Nd (0.5000, 0.0000, 0.0000)  6 Se 2.95
Nd (0.0000, 0.5000, 0.0000)  6 Se 2.95
Nd (0.2500, 0.8750, 0.1250)  4 Se 2.77
Nd (0.8750, 0.6250, 0.7500)  4 Se 2.77
Nd (0.0000, 0.0000, 0.5000)  6 Se 2.95
Nd (0.6250, 0.8750, 0.2500)  4 Se 2.77
Nd (0.0000, 0.5000, 0.5000)  6 Se 2.95
Nd (0.0000, 0.0000, 0.0000)  6 Se 2.95
Nd (0.3750, 0.1250, 0.7500)  4 Se 2.77
Nd (0.7500, 0.6250, 0.3750)  4 Se 2.77
Nd (0.3750, 0.2500, 0.1250)  4 Se 2.77
Nd (0.5000, 0.0000, 0.5000)  6 Se 2.95
Nd (0.5000, 0.5000, 0.0000)  6 Se 2.95
Nd (0.8750, 0.2500, 0.6250)  4 Se 2.77
Nd (0.7500, 0.1250, 0.8750)  4 Se 2.77


No. 2
# Nd6ThSe8

Crystalline Nd6ThSe8 at its relaxed geometry (PBE, the Alexandria database).

Unit cell a=8.4313 b=8.4313 c=8.4313 alpha=60.00 beta=60.00 gamma=60.00
Last column: nearest neighbours and their distance in Å.
Element x y z (fractional)
Nd (0.5000, 0.0000, 0.5000)  6 Se 2.98
Nd (0.0000, 0.0000, 0.5000)  6 Se 2.98
Nd (0.5000, 0.0000, 0.0000)  6 Se 2.98
Nd (0.0000, 0.5000, 0.0000)  6 Se 2.98
Nd (0.0000, 0.5000, 0.5000)  6 Se 2.98
Nd (0.5000, 0.5000, 0.0000)  6 Se 2.98
Se (0.7472, 0.2528, 0.2528)  4 Nd 2.98, 1 Th 3.01
Se (0.2500, 0.2500, 0.2500)  6 Nd 2.98
Se (0.2528, 0.7472, 0.2528)  4 Nd 2.98, 1 Th 3.01
Se (0.7472, 0.7472, 0.2528)  4 Nd 2.98, 1 Th 3.01
Se (0.7500, 0.7500, 0.7500)  6 Nd 2.98
Se (0.2528, 0.2528, 0.7472)  4 Nd 2.98, 1 Th 3.01
Se (0.7472, 0.2528, 0.7472)  4 Nd 2.98, 1 Th 3.01
Se (0.2528, 0.7472, 0.7472)  4 Nd 2.98, 1 Th 3.01
Th (0.0000, 0.0000, 0.0000)  6 Se 3.01


No. 3
# NdThSe3

Crystalline NdThSe3 at its relaxed geometry (PBE, the Alexandria database).

Unit cell a=4.1523 b=7.9609 c=16.3026 alpha=90.00 beta=90.00 gamma=90.00
Last column: nearest neighbours and their distance in Å.
Element x y z (fractional)
Se (0.2500, 0.6779, 0.7208)  1 Th 2.98, 4 Nd 2.99-3.01
Se (0.7500, 0.3221, 0.2792)  1 Th 2.98, 4 Nd 2.99-3.01
Se (0.2500, 0.5073, 0.1014)  3 Th 2.98-3.08, 1 Nd 3.19
Se (0.2500, 0.0073, 0.3986)  3 Th 2.98-3.08, 1 Nd 3.19
Se (0.2500, 0.1779, 0.7792)  1 Th 2.98, 4 Nd 2.99-3.01
Se (0.7500, 0.4927, 0.8986)  3 Th 2.98-3.08, 1 Nd 3.19
Se (0.7500, 0.8221, 0.2208)  1 Th 2.98, 4 Nd 2.99-3.01
Se (0.2500, 0.8755, 0.9279)  3 Th 2.97-3.05, 2 Nd 3.04
Se (0.2500, 0.3755, 0.5721)  3 Th 2.97-3.05, 2 Nd 3.04
Se (0.7500, 0.1245, 0.0721)  3 Th 2.97-3.05, 2 Nd 3.04
Se (0.7500, 0.6245, 0.4279)  3 Th 2.97-3.05, 2 Nd 3.04
Se (0.7500, 0.9927, 0.6014)  3 Th 2.98-3.08, 1 Nd 3.19
Nd (0.7500, 0.4052, 0.7075)  7 Se 2.99-3.19
Nd (0.7500, 0.9052, 0.7925)  7 Se 2.99-3.19
Nd (0.2500, 0.0948, 0.2075)  7 Se 2.99-3.19
Nd (0.2500, 0.5948, 0.2925)  7 Se 2.99-3.19
Th (0.7500, 0.2460, 0.4583)  7 Se 2.97-3.08
Th (0.2500, 0.7540, 0.5417)  7 Se 2.97-3.08
Th (0.7500, 0.7460, 0.0417)  7 Se 2.97-3.08
Th (0.2500, 0.2540, 0.9583)  7 Se 2.97-3.08

Output
Distance to the lowest polymorph of the same formula (eV per formula unit): 0.000


No. 4
# NdTh3Se4

Crystalline NdTh3Se4 at its relaxed geometry (PBE, the Alexandria database).

Unit cell a=5.9538 b=5.9538 c=7.2848 alpha=114.12 beta=114.12 gamma=90.00
Last column: nearest neighbours and their distance in Å.
Element x y z (fractional)
Th (0.7500, 0.2500, 0.5000)  6 Se 2.97-2.98
Th (0.5000, 0.5000, 0.0000)  6 Se 2.98
Th (0.2500, 0.7500, 0.5000)  6 Se 2.97-2.98
Se (0.0000, 0.5000, 0.0000)  4 Th 2.97-2.98, 2 Nd 2.98
Se (0.7505, 0.7505, 0.5010)  1 Nd 2.97, 5 Th 2.98
Se (0.5000, 0.0000, 0.0000)  4 Th 2.97-2.98, 2 Nd 2.98
Se (0.2495, 0.2495, 0.4990)  1 Nd 2.97, 5 Th 2.98
Nd (0.0000, 0.0000, 0.0000)  6 Se 2.97-2.98


No. 5
# Nd2ThSe3

Crystalline Nd2ThSe3 at its relaxed geometry (PBE, the Alexandria database).

Unit cell a=4.2234 b=5.9720 c=7.3067 alpha=114.12 beta=106.80 gamma=90.00
Last column: nearest neighbours and their distance in Å.
Element x y z (fractional)
Se (0.5000, 0.0000, 0.5000)  2 Th 2.99, 4 Nd 3.01
Se (0.8349, 0.3349, 0.1699)  2 Th 2.97, 4 Nd 2.97-2.99
Se (0.1651, 0.6651, 0.8301)  2 Th 2.97, 4 Nd 2.97-2.99
Nd (0.1695, 0.1695, 0.8389)  6 Se 2.97-3.01
Nd (0.8305, 0.8305, 0.1611)  6 Se 2.97-3.01
Th (0.5000, 0.5000, 0.5000)  6 Se 2.97-2.99

Output
Distance to the lowest polymorph of the same formula (eV per formula unit): 0.000


No. 6
# Nd3Th2Se8

Crystalline Nd3Th2Se8 at its relaxed geometry (PBE, the Alexandria database).

Unit cell a=5.0214 b=10.1595 c=8.7656 alpha=125.46 beta=90.00 gamma=90.00
Last column: nearest neighbours and their distance in Å.
Element x y z (fractional)
Se (0.5000, 0.8809, 0.2516)  3 Nd 3.07-3.11, 2 Th 3.09-3.11
Se (0.5000, 0.6294, 0.7485)  3 Nd 3.07-3.11, 2 Th 3.08-3.12
Se (0.0000, 0.6320, 0.2641)  2 Nd 2.93, 2 Th 2.97
Se (0.5000, 0.1191, 0.7484)  3 Nd 3.07-3.11, 2 Th 3.09-3.11
Se (0.0000, 0.8785, 0.7568)  4 Nd 3.05-3.33, 2 Th 3.17
Se (0.5000, 0.3706, 0.2515)  3 Nd 3.07-3.11, 2 Th 3.08-3.12
Se (0.0000, 0.1215, 0.2432)  4 Nd 3.05-3.33, 2 Th 3.17
Se (0.0000, 0.3680, 0.7359)  2 Nd 2.93, 2 Th 2.97
Th (0.5000, 0.2571, 0.5141)  8 Se 2.97-3.17
Th (0.5000, 0.7429, 0.4859)  8 Se 2.97-3.17
Nd (0.5000, 0.0000, 0.0000)  8 Se 3.05-3.07
Nd (0.0000, 0.2791, 0.9998)  6 Se 2.93-3.11
Nd (0.0000, 0.7209, 0.0002)  6 Se 2.93-3.11


No. 7
# NdTh2Se3

Crystalline NdTh2Se3 at its relaxed geometry (PBE, the Alexandria database).

Unit cell a=5.9570 b=8.3044 c=12.8067 alpha=90.00 beta=90.00 gamma=89.99
Last column: nearest neighbours and their distance in Å.
Element x y z (fractional)
Se (0.7517, 0.3748, 0.7486)  4 Th 2.98, 2 Nd 3.00
Se (0.7517, 0.8748, 0.7514)  4 Th 2.98, 2 Nd 3.00
Se (0.2501, 0.6248, 0.9161)  1 Nd 2.95, 5 Th 2.97-2.98
Se (0.2501, 0.6266, 0.5830)  3 Th 2.98, 3 Nd 2.98
Se (0.2483, 0.1252, 0.2486)  4 Th 2.98, 2 Nd 3.00
Se (0.2483, 0.6252, 0.2514)  4 Th 2.98, 2 Nd 3.00
Se (0.2501, 0.1248, 0.5839)  1 Nd 2.95, 5 Th 2.97-2.98
Se (0.7499, 0.8752, 0.4161)  1 Nd 2.95, 5 Th 2.97-2.98
Se (0.7499, 0.3734, 0.4170)  3 Th 2.98, 3 Nd 2.98
Se (0.7499, 0.3752, 0.0839)  1 Nd 2.95, 5 Th 2.97-2.98
Se (0.2501, 0.1266, 0.9170)  3 Th 2.98, 3 Nd 2.98
Se (0.7499, 0.8734, 0.0830)  3 Th 2.98, 3 Nd 2.98
Nd (0.7500, 0.1270, 0.9187)  6 Se 2.95-3.00
Nd (0.2500, 0.8730, 0.0813)  6 Se 2.95-3.00
Nd (0.2500, 0.3730, 0.4187)  6 Se 2.95-3.00
Nd (0.7500, 0.6270, 0.5813)  6 Se 2.95-3.00
Th (0.2516, 0.8757, 0.7509)  6 Se 2.97-2.98
Th (0.7484, 0.6243, 0.2509)  6 Se 2.97-2.98
Th (0.2499, 0.3773, 0.0831)  6 Se 2.97-2.98
Th (0.2499, 0.8773, 0.4169)  6 Se 2.97-2.98
Th (0.7484, 0.1243, 0.2491)  6 Se 2.97-2.98
Th (0.7501, 0.1227, 0.5831)  6 Se 2.97-2.98
Th (0.7501, 0.6227, 0.9169)  6 Se 2.97-2.98
Th (0.2516, 0.3757, 0.7491)  6 Se 2.97-2.98


No. 8
# Nd3Th4Se8

Crystalline Nd3Th4Se8 at its relaxed geometry (PBE, the Alexandria database).

Unit cell a=8.3618 b=8.3806 c=8.3806 alpha=90.08 beta=119.83 gamma=119.83
Last column: nearest neighbours and their distance in Å.
Element x y z (fractional)
Se (0.5000, 0.7497, 0.2503)  3 Nd 2.96, 3 Th 2.97
Se (0.4894, 0.7459, 0.7459)  2 Th 2.95-3.03, 3 Nd 2.97
Se (0.5000, 0.2503, 0.7497)  3 Nd 2.96, 3 Th 2.97
Se (0.0000, 0.2567, 0.7433)  3 Th 2.96-3.04, 2 Nd 2.97
Se (0.9998, 0.2585, 0.2585)  4 Th 2.97-3.06, 1 Nd 2.97
Se (0.0000, 0.7433, 0.2567)  3 Th 2.96-3.04, 2 Nd 2.97
Se (0.0002, 0.7415, 0.7415)  4 Th 2.97-3.06, 1 Nd 2.97
Se (0.5106, 0.2541, 0.2541)  2 Th 2.95-3.03, 3 Nd 2.97
Th (0.5000, 0.0000, 0.0000)  6 Se 2.95-2.97
Th (0.0000, 0.5000, 0.0000)  6 Se 2.96-2.97
Th (0.0000, 0.0000, 0.0000)  6 Se 3.03-3.06
Th (0.0000, 0.0000, 0.5000)  6 Se 2.96-2.97
Nd (0.5000, 0.0000, 0.5000)  6 Se 2.96-2.97
Nd (0.5000, 0.5000, 0.5000)  6 Se 2.96-2.97
Nd (0.5000, 0.5000, 0.0000)  6 Se 2.96-2.97


no.,DOS at the Fermi energy (states/eV/f.u.),energy (eV/atom)
1,14.13,-5.92
2,9.28,-6.08
3,2.57,-6.33
4,4.57,-6.74
5,4.42,-6.29
6,2.63,-6.08
7,4.57,-6.64
8,7.62,-6.50